Entry 1:
The following is a PBE-GGA calculation of a geometry-optimized YTm6Th3 structure, from Alexandria via LeMat-Bulk.

Computed properties:
energy above the most stable polymorph in this dataset: 298 meV per atom
spin magnetization: 0.00 Bohr magnetons per cell
calculated density: 9.1 Mg/m³
calculated volume: 32.679 Å³/atom

abc: 9.7665 9.7665 6.8881
angles: 44.85 44.85 60.00
Fractional coordinates of all 10 atoms:
Y 0.8501 0.8501 0.4496
Tm 0.9322 0.5994 0.2011
Tm 0.2673 0.9322 0.2011
Tm 0.5994 0.2673 0.2011
Tm 0.1004 0.4325 0.6994
Tm 0.7677 0.1004 0.6994
Tm 0.4325 0.7677 0.6994
Th 0.3501 0.3501 0.9497
Th 0.6009 0.6009 0.1974
Th 0.0994 0.0994 0.7017

***

Entry 2:
The following is a PBE-GGA calculation of a geometry-optimized Y3Tm4Th5 structure, from Alexandria via LeMat-Bulk.

Computed properties:
spin magnetization: 0.00 Bohr magnetons per cell
calculated density: 8.9 Mg/m³
calculated volume: 32.849 Å³/atom

abc: 5.7319 5.7443 14.1089
angles: 84.72 78.28 60.07
Fractional coordinates of all 12 atoms:
Y 0.1652 0.6680 0.0015
Y 0.0000 0.5000 0.5000
Y 0.8348 0.3320 0.9985
Tm 0.2978 0.6532 0.7512
Tm 0.9639 0.3259 0.7464
Tm 0.0361 0.6741 0.2536
Tm 0.7022 0.3468 0.2488
Th 0.3161 0.0017 0.3662
Th 0.5000 0.5000 0.5000
Th 0.5650 0.9960 0.8741
Th 0.4350 0.0040 0.1259
Th 0.6839 0.9983 0.6338

***

Entry 3:
The following is a PBE-GGA calculation of a geometry-optimized YTm12Th3 structure, from Alexandria via LeMat-Bulk.

Computed properties:
spin magnetization: 0.00 Bohr magnetons per cell
calculated density: 9.5 Mg/m³
calculated volume: 30.657 Å³/atom

abc: 4.9743 4.9743 19.8238
angles: 90.00 90.00 90.00
Fractional coordinates of all 16 atoms:
Y 0.0000 0.0000 0.0000
Tm 0.5000 0.5000 0.0000
Tm 0.5000 0.5000 0.2500
Tm 0.5000 0.5000 0.5000
Tm 0.5000 0.5000 0.7500
Tm 0.5000 0.0000 0.1264
Tm 0.5000 0.0000 0.3752
Tm 0.5000 0.0000 0.6248
Tm 0.5000 0.0000 0.8736
Tm 0.0000 0.5000 0.1264
Tm 0.0000 0.5000 0.3752
Tm 0.0000 0.5000 0.6248
Tm 0.0000 0.5000 0.8736
Th 0.0000 0.0000 0.2509
Th 0.0000 0.0000 0.5000
Th 0.0000 0.0000 0.7491

***

| no. | formation energy (meV per atom) |
| --- | --- |
| 1 | 379 |
| 2 | 305 |
| 3 | 34 |